(1)
# BaTe2SeS2, optimized geometry, DFT PBE-GGA
# ΔE_f (raw) in eV per atom: -0.602
# Crystal system: monoclinic
# Magnetic moment in μB/f.u.: 0.0
# Symmetry: P2_1/m, No. 11
data_BaTe2SeS2
_chemical_formula_sum 'Ba2 Te4 Se2 S4'
_cell_length_a 6.317
_cell_length_b 6.036
_cell_length_c 10.839
_cell_angle_alpha 91.97
_cell_angle_beta 90.00
_cell_angle_gamma 90.00
_space_group_name_H-M_alt 'P 1'
_space_group_IT_number 1
_space_group_name_Hall 'P 1'
loop_
_atom_site_label
_atom_site_fract_x
_atom_site_fract_y
_atom_site_fract_z
_atom_site_occupancy
Ba1 0.750 0.468 0.694 1
Ba2 0.250 0.532 0.306 1
Te1 0.499 0.014 0.132 1
Te2 0.001 0.014 0.132 1
Te3 0.999 0.986 0.868 1
Te4 0.501 0.986 0.868 1
Se1 0.250 0.132 0.598 1
Se2 0.750 0.868 0.402 1
S1 0.250 0.045 0.399 1
S2 0.250 0.499 0.615 1
S3 0.750 0.955 0.601 1
S4 0.750 0.501 0.385 1


(2)
# Pu2AuC, optimized geometry, DFT PBE-GGA
# Crystal system: trigonal
# Magnetic moment in μB/f.u.: 10.9
# Symmetry: R3m, No. 160
# Formation energy from the elements in eV/atom: -0.158
# E above lowest polymorph in meV/atom: 0.0
data_Pu2AuC
_chemical_formula_sum 'Pu2 Au1 C1'
_cell_length_a 3.503
_cell_length_b 3.503
_cell_length_c 7.936
_cell_angle_alpha 77.24
_cell_angle_beta 77.24
_cell_angle_gamma 60.00
_space_group_name_H-M_alt 'P 1'
_space_group_IT_number 1
_space_group_name_Hall 'P 1'
loop_
_atom_site_label
_atom_site_fract_x
_atom_site_fract_y
_atom_site_fract_z
_atom_site_occupancy
Pu1 0.062 0.062 0.814 1
Pu2 0.271 0.271 0.186 1
Au1 0.500 0.500 0.500 1
C1 0.667 0.667 0.000 1


(3)
# Sm6C2S3Br, optimized geometry, DFT PBE-GGA
# ΔE_f (raw) in eV per atom: -1.335
# Crystal system: monoclinic
# Magnetic moment in μB/f.u.: 0.0
# Symmetry: C2/m, No. 12
data_Sm6C2S3Br
_chemical_formula_sum 'Sm6 C2 S3 Br1'
_cell_length_a 3.880
_cell_length_b 8.109
_cell_length_c 8.813
_cell_angle_alpha 101.80
_cell_angle_beta 102.72
_cell_angle_gamma 90.00
_space_group_name_H-M_alt 'P 1'
_space_group_IT_number 1
_space_group_name_Hall 'P 1'
loop_
_atom_site_label
_atom_site_fract_x
_atom_site_fract_y
_atom_site_fract_z
_atom_site_occupancy
Sm1 0.321 0.870 0.643 1
Sm2 0.675 0.567 0.350 1
Sm3 0.679 0.130 0.357 1
Sm4 0.021 0.283 0.042 1
Sm5 0.979 0.717 0.958 1
Sm6 0.325 0.433 0.650 1
C1 0.830 0.665 0.661 1
C2 0.170 0.335 0.339 1
S1 0.500 0.500 0.000 1
S2 0.842 0.162 0.683 1
S3 0.158 0.838 0.317 1
Br1 0.500 0.000 0.000 1


(4)
# HfCdInF6, optimized geometry, DFT PBE-GGA
# ΔE_f (raw) in eV per atom: -2.746
# Crystal system: triclinic
# Magnetic moment in μB/f.u.: 1.0
# Symmetry: P1, No. 1
data_HfCdInF6
_chemical_formula_sum 'Hf1 Cd1 In1 F6'
_cell_length_a 6.451
_cell_length_b 6.477
_cell_length_c 5.177
_cell_angle_alpha 90.44
_cell_angle_beta 89.66
_cell_angle_gamma 58.06
_space_group_name_H-M_alt 'P 1'
_space_group_IT_number 1
_space_group_name_Hall 'P 1'
loop_
_atom_site_label
_atom_site_fract_x
_atom_site_fract_y
_atom_site_fract_z
_atom_site_occupancy
Hf1 0.334 0.334 0.500 1
Cd1 0.662 0.664 0.501 1
In1 0.000 0.999 0.000 1
F1 0.071 0.342 0.284 1
F2 0.340 0.074 0.717 1
F3 0.592 0.336 0.717 1
F4 0.060 0.603 0.715 1
F5 0.338 0.589 0.282 1
F6 0.602 0.060 0.285 1


(5)
# Tl2In2Sn3, optimized geometry, DFT PBE-GGA
# Crystal system: triclinic
# Magnetic moment in μB/f.u.: 0.0
# Symmetry: P-1, No. 2
# Formation energy from the elements in eV/atom: 0.068
data_Tl2In2Sn3
_chemical_formula_sum 'Tl2 In2 Sn3'
_cell_length_a 4.186
_cell_length_b 6.157
_cell_length_c 9.208
_cell_angle_alpha 110.40
_cell_angle_beta 103.23
_cell_angle_gamma 89.21
_space_group_name_H-M_alt 'P 1'
_space_group_IT_number 1
_space_group_name_Hall 'P 1'
loop_
_atom_site_label
_atom_site_fract_x
_atom_site_fract_y
_atom_site_fract_z
_atom_site_occupancy
Tl1 0.348 0.160 0.692 1
Tl2 0.652 0.840 0.308 1
In1 0.195 0.337 0.382 1
In2 0.805 0.663 0.618 1
Sn1 0.000 0.500 0.000 1
Sn2 0.563 0.238 0.117 1
Sn3 0.437 0.762 0.883 1


(6)
# DyNi4B2, optimized geometry, DFT PBE-GGA
# Crystal system: tetragonal
# Magnetic moment in μB/f.u.: 0.0
# Symmetry: P4_2/mnm, No. 136
# Formation energy from the elements in eV/atom: -0.405
# E above lowest polymorph in meV/atom: 0.0
data_DyNi4B2
_chemical_formula_sum 'Dy2 Ni8 B4'
_cell_length_a 3.307
_cell_length_b 6.872
_cell_length_c 6.872
_cell_angle_alpha 90.00
_cell_angle_beta 90.00
_cell_angle_gamma 90.00
_space_group_name_H-M_alt 'P 1'
_space_group_IT_number 1
_space_group_name_Hall 'P 1'
loop_
_atom_site_label
_atom_site_fract_x
_atom_site_fract_y
_atom_site_fract_z
_atom_site_occupancy
Ni1 0.000 0.084 0.331 1
Ni2 0.000 0.916 0.669 1
Ni3 0.500 0.169 0.584 1
Ni4 0.500 0.831 0.416 1
Ni5 0.500 0.416 0.831 1
Ni6 0.500 0.584 0.169 1
Ni7 0.000 0.331 0.084 1
Ni8 0.000 0.669 0.916 1
B1 0.000 0.226 0.774 1
B2 0.000 0.774 0.226 1
B3 0.500 0.726 0.726 1
B4 0.500 0.274 0.274 1
Dy1 0.500 0.000 0.000 1
Dy2 0.000 0.500 0.500 1


(7)
# Np2Tl5Br12, optimized geometry, DFT PBE-GGA
# ΔE_f (raw) in eV per atom: -1.039
# Crystal system: monoclinic
# Magnetic moment in μB/f.u.: 7.0
# Symmetry: C2/m, No. 12
data_Np2Tl5Br12
_chemical_formula_sum 'Np2 Tl5 Br12'
_cell_length_a 8.598
_cell_length_b 10.097
_cell_length_c 10.729
_cell_angle_alpha 107.48
_cell_angle_beta 90.00
_cell_angle_gamma 115.20
_space_group_name_H-M_alt 'P 1'
_space_group_IT_number 1
_space_group_name_Hall 'P 1'
loop_
_atom_site_label
_atom_site_fract_x
_atom_site_fract_y
_atom_site_fract_z
_atom_site_occupancy
Np1 0.749 0.000 0.000 1
Np2 0.251 0.000 0.000 1
Tl1 0.281 0.562 0.621 1
Tl2 0.320 0.641 0.228 1
Tl3 0.000 0.000 0.500 1
Tl4 0.680 0.359 0.772 1
Tl5 0.719 0.438 0.379 1
Br1 0.012 0.023 0.184 1
Br2 0.099 0.684 0.934 1
Br3 0.585 0.684 0.934 1
Br4 0.112 0.714 0.450 1
Br5 0.602 0.714 0.450 1
Br6 0.491 0.982 0.813 1
Br7 0.509 0.018 0.187 1
Br8 0.888 0.286 0.550 1
Br9 0.398 0.286 0.550 1
Br10 0.901 0.316 0.066 1
Br11 0.415 0.316 0.066 1
Br12 0.988 0.977 0.816 1


(8)
# CaSiSbO6, optimized geometry, DFT PBE-GGA
# ΔE_f (raw) in eV per atom: -2.075
# Crystal system: trigonal
# Magnetic moment in μB/f.u.: 1.0
# Symmetry: P-31c, No. 163
data_CaSiSbO6
_chemical_formula_sum 'Ca2 Si2 Sb2 O12'
_cell_length_a 5.060
_cell_length_b 5.060
_cell_length_c 10.082
_cell_angle_alpha 90.00
_cell_angle_beta 90.00
_cell_angle_gamma 120.00
_space_group_name_H-M_alt 'P 1'
_space_group_IT_number 1
_space_group_name_Hall 'P 1'
loop_
_atom_site_label
_atom_site_fract_x
_atom_site_fract_y
_atom_site_fract_z
_atom_site_occupancy
Ca1 0.000 0.000 0.000 1
Ca2 0.000 0.000 0.500 1
Si1 0.667 0.333 0.250 1
Si2 0.333 0.667 0.750 1
Sb1 0.333 0.667 0.250 1
Sb2 0.667 0.333 0.750 1
O1 0.646 0.616 0.147 1
O2 0.970 0.354 0.147 1
O3 0.354 0.970 0.647 1
O4 0.030 0.646 0.853 1
O5 0.384 0.354 0.353 1
O6 0.970 0.616 0.353 1
O7 0.616 0.970 0.853 1
O8 0.646 0.030 0.353 1
O9 0.030 0.384 0.647 1
O10 0.384 0.030 0.147 1
O11 0.616 0.646 0.647 1
O12 0.354 0.384 0.853 1


(9)
# AlSi2Te, optimized geometry, DFT PBE-GGA
# ΔE_f (raw) in eV per atom: 0.319
# Crystal system: monoclinic
# Magnetic moment in μB/f.u.: 0.0
# Symmetry: P2/m, No. 10
# E above lowest polymorph in meV/atom: 184.7
data_AlSi2Te
_chemical_formula_sum 'Al1 Si2 Te1'
_cell_length_a 3.776
_cell_length_b 2.966
_cell_length_c 7.085
_cell_angle_alpha 89.93
_cell_angle_beta 90.00
_cell_angle_gamma 90.00
_space_group_name_H-M_alt 'P 1'
_space_group_IT_number 1
_space_group_name_Hall 'P 1'
loop_
_atom_site_label
_atom_site_fract_x
_atom_site_fract_y
_atom_site_fract_z
_atom_site_occupancy
Si1 0.000 0.249 0.937 1
Si2 0.000 0.251 0.563 1
Te1 0.500 0.250 0.250 1
Al1 0.500 0.750 0.750 1


(10)
# Ce8AsOs3Br4, optimized geometry, DFT PBE-GGA
# ΔE_f (raw) in eV per atom: -0.872
# Crystal system: trigonal
# Magnetic moment in μB/f.u.: 6.7
# Symmetry: R-3m, No. 166
data_Ce8AsOs3Br4
_chemical_formula_sum 'Ce8 As1 Os3 Br4'
_cell_length_a 8.288
_cell_length_b 8.872
_cell_length_c 8.288
_cell_angle_alpha 117.84
_cell_angle_beta 120.00
_cell_angle_gamma 90.00
_space_group_name_H-M_alt 'P 1'
_space_group_IT_number 1
_space_group_name_Hall 'P 1'
loop_
_atom_site_label
_atom_site_fract_x
_atom_site_fract_y
_atom_site_fract_z
_atom_site_occupancy
Ce1 0.241 0.701 0.960 1
Ce2 0.241 0.701 0.482 1
Ce3 0.267 0.300 0.533 1
Ce4 0.719 0.701 0.960 1
Ce5 0.281 0.299 0.040 1
Ce6 0.733 0.700 0.467 1
Ce7 0.759 0.299 0.518 1
Ce8 0.759 0.299 0.040 1
As1 0.000 0.500 0.000 1
Os1 0.500 0.500 0.000 1
Os2 0.500 0.500 0.500 1
Os3 0.000 0.500 0.500 1
Br1 0.500 0.000 0.000 1
Br2 0.500 0.000 0.500 1
Br3 0.000 0.000 0.000 1
Br4 0.000 0.000 0.500 1


(11)
# Sm2DyTeO8, optimized geometry, DFT PBE-GGA
# ΔE_f (raw) in eV per atom: -2.449
# Crystal system: orthorhombic
# Magnetic moment in μB/f.u.: 0.9
# Symmetry: Cmmm, No. 65
data_Sm2DyTeO8
_chemical_formula_sum 'Sm2 Dy1 Te1 O8'
_cell_length_a 5.134
_cell_length_b 5.137
_cell_length_c 6.948
_cell_angle_alpha 90.00
_cell_angle_beta 90.00
_cell_angle_gamma 90.99
_space_group_name_H-M_alt 'P 1'
_space_group_IT_number 1
_space_group_name_Hall 'P 1'
loop_
_atom_site_label
_atom_site_fract_x
_atom_site_fract_y
_atom_site_fract_z
_atom_site_occupancy
Sm1 0.500 0.500 0.751 1
Sm2 0.500 0.500 0.249 1
Dy1 0.000 0.000 0.500 1
Te1 0.000 0.000 0.000 1
O1 0.179 0.821 0.211 1
O2 0.731 0.731 0.000 1
O3 0.821 0.179 0.211 1
O4 0.821 0.179 0.789 1
O5 0.269 0.269 0.000 1
O6 0.179 0.821 0.789 1
O7 0.696 0.695 0.500 1
O8 0.304 0.305 0.500 1


(12)
# GaSbC2O, optimized geometry, DFT PBE-GGA
# ΔE_f (raw) in eV per atom: 2.043
# Crystal system: tetragonal
# Magnetic moment in μB/f.u.: 0.0
# Symmetry: P4/mmm, No. 123
data_GaSbC2O
_chemical_formula_sum 'Ga1 Sb1 C2 O1'
_cell_length_a 4.046
_cell_length_b 4.308
_cell_length_c 4.046
_cell_angle_alpha 90.00
_cell_angle_beta 90.00
_cell_angle_gamma 90.00
_space_group_name_H-M_alt 'P 1'
_space_group_IT_number 1
_space_group_name_Hall 'P 1'
loop_
_atom_site_label
_atom_site_fract_x
_atom_site_fract_y
_atom_site_fract_z
_atom_site_occupancy
Sb1 0.000 0.500 0.000 1
C1 0.000 0.000 0.500 1
C2 0.500 0.000 0.000 1
O1 0.000 0.000 0.000 1
Ga1 0.500 0.500 0.500 1


Q: Which of these has the highest magnetic moment?
A: Pu2AuC


Repeat the fifth record exactly.
# Tl2In2Sn3, optimized geometry, DFT PBE-GGA
# Crystal system: triclinic
# Magnetic moment in μB/f.u.: 0.0
# Symmetry: P-1, No. 2
# Formation energy from the elements in eV/atom: 0.068
data_Tl2In2Sn3
_chemical_formula_sum 'Tl2 In2 Sn3'
_cell_length_a 4.186
_cell_length_b 6.157
_cell_length_c 9.208
_cell_angle_alpha 110.40
_cell_angle_beta 103.23
_cell_angle_gamma 89.21
_space_group_name_H-M_alt 'P 1'
_space_group_IT_number 1
_space_group_name_Hall 'P 1'
loop_
_atom_site_label
_atom_site_fract_x
_atom_site_fract_y
_atom_site_fract_z
_atom_site_occupancy
Tl1 0.348 0.160 0.692 1
Tl2 0.652 0.840 0.308 1
In1 0.195 0.337 0.382 1
In2 0.805 0.663 0.618 1
Sn1 0.000 0.500 0.000 1
Sn2 0.563 0.238 0.117 1
Sn3 0.437 0.762 0.883 1